TaW2N | PBE-GGA | relaxed

Lattice parameters (Å, degrees): 2.8239 4.4064 9.0455 90.00 100.03 90.00
With the nearest neighbours (Å) after each atom.
Atoms (fractional coordinates):
Ta 0.5000 0.5000 0.0000  2 N 2.20
Ta 0.5000 0.0000 0.5000  2 N 2.20
N 0.5000 0.5000 0.5000  4 W 2.13-2.18, 2 Ta 2.20
N 0.5000 0.0000 0.0000  4 W 2.13-2.18, 2 Ta 2.20
W 0.1162 0.0000 0.1823  2 N 2.13-2.18
W 0.8838 0.0000 0.8177  2 N 2.13-2.18
W 0.1162 0.5000 0.6823  2 N 2.13-2.18
W 0.8838 0.5000 0.3177  2 N 2.13-2.18

**Crystal system**: monoclinic
**Formation energy from raw total energies**: -27.6 kJ/mol of atoms


Ag2MoCl | PBE-GGA | relaxed

Lattice parameters (Å, degrees): 6.8833 6.8833 6.8833 156.19 143.16 44.35
With the nearest neighbours (Å) after each atom.
Atoms (fractional coordinates):
Ag 0.4502 0.4502 0.0000  6 Ag 2.84-2.89, 2 Mo 2.92
Ag 0.0498 0.0498 0.0000  6 Ag 2.84-2.89, 2 Mo 2.92
Mo 0.2500 0.7500 0.5000  4 Cl 2.60, 2 Mo 2.84
Cl 0.7500 0.2500 0.5000  4 Mo 2.60, 2 Cl 2.84

**Crystal system**: orthorhombic
**Formation energy from raw total energies**: 48.7 kJ/mol of atoms
**Energy relative to the lowest polymorph listed for this composition**: 37.76 kJ/mol of atoms


ZnHgTe2 | PBE-GGA | relaxed

Lattice parameters (Å, degrees): 3.2075 3.2075 10.9997 90.00 90.00 90.00
With the nearest neighbours (Å) after each atom.
Atoms (fractional coordinates):
Zn 0.5000 0.5000 0.2500  8 Te 3.13, 4 Zn 3.21
Te 0.0000 0.0000 0.0534  4 Zn 3.13, 4 Te 3.21
Te 0.0000 0.0000 0.4466  4 Zn 3.13, 4 Te 3.21
Hg 0.5000 0.5000 0.7500  4 Hg 3.21

**Crystal system**: tetragonal
**Formation energy from raw total energies**: 14.6 kJ/mol of atoms


BaAuO3 | PBE-GGA | relaxed

Lattice parameters (Å, degrees): 4.4986 4.4986 4.4986 90.00 90.00 90.00
With the nearest neighbours (Å) after each atom.
Atoms (fractional coordinates):
O 0.0000 0.0000 0.5000  2 Ba 2.25
O 0.0000 0.5000 0.0000  2 Ba 2.25
O 0.5000 0.0000 0.0000  2 Ba 2.25
Ba 0.0000 0.0000 0.0000  6 O 2.25
Au 0.5000 0.5000 0.5000  12 O 3.18

**Crystal system**: cubic
**Formation energy from raw total energies**: 34.2 kJ/mol of atoms


YCoPt | PBE-GGA | relaxed

Lattice parameters (Å, degrees): 5.2787 5.2787 5.2787 90.25 62.27 122.63
With the nearest neighbours (Å) after each atom.
Atoms (fractional coordinates):
Pt 0.0000 0.5000 0.5000  4 Co 2.64, 2 Pt 2.73
Pt 0.5000 0.5000 0.0000  4 Co 2.64, 2 Pt 2.73
Y 0.7500 0.8806 0.3694  6 Pt 3.01-3.16, 6 Co 3.04-3.16, 4 Y 3.20-3.26
Y 0.2500 0.1194 0.6306  6 Pt 3.01-3.16, 6 Co 3.04-3.16, 4 Y 3.20-3.26
Co 0.0000 0.5000 0.0000  2 Co 2.53, 4 Pt 2.64
Co 0.5000 0.0000 0.0000  2 Co 2.53, 4 Pt 2.64

**Energy of formation**: -2.11 eV/f.u.
**Crystal system**: orthorhombic


CaCdSeBr2 | PBE-GGA | relaxed

Lattice parameters (Å, degrees): 5.3689 5.3689 5.4235 90.00 90.00 90.00
With the nearest neighbours (Å) after each atom.
Atoms (fractional coordinates):
Br 0.5000 0.0000 0.0000  2 Cd 2.68
Br 0.0000 0.5000 0.0000  2 Cd 2.68
Ca 0.5000 0.5000 0.5000  4 Se 3.80, 8 Br 3.82
Cd 0.0000 0.0000 0.0000  4 Br 2.68, 2 Se 2.71
Se 0.0000 0.0000 0.5000  2 Cd 2.71

**Crystal system**: tetragonal
**Formation energy from raw total energies**: -81.2 kJ/mol of atoms
**Energy relative to the lowest polymorph listed for this composition**: 0.00 kJ/mol of atoms


Mn2ReRuN | PBE-GGA | relaxed

Lattice parameters (Å, degrees): 3.8023 3.8023 3.9844 90.00 90.00 90.00
With the nearest neighbours (Å) after each atom.
Atoms (fractional coordinates):
Ru 0.5000 0.5000 0.5000  4 Re 2.69, 8 Mn 2.75
Mn 0.0000 0.5000 0.0000  2 N 1.90
Mn 0.5000 0.0000 0.0000  2 N 1.90
Re 0.0000 0.0000 0.5000  2 N 1.99
N 0.0000 0.0000 0.0000  4 Mn 1.90, 2 Re 1.99

**Crystal system**: tetragonal
**Formation energy from raw total energies**: 3.8 kJ/mol of atoms


ZrTePN2 | PBE-GGA | relaxed

Lattice parameters (Å, degrees): 3.9311 3.9311 4.9983 90.00 90.00 90.00
With the nearest neighbours (Å) after each atom.
Atoms (fractional coordinates):
Te 0.0000 0.0000 0.5000  2 P 2.50, 4 Zr 2.78
N 0.0000 0.5000 0.0000  2 P 1.97
N 0.5000 0.0000 0.0000  2 P 1.97
Zr 0.5000 0.5000 0.5000  4 Te 2.78
P 0.0000 0.0000 0.0000  4 N 1.97

**Crystal system**: tetragonal
**Formation energy from raw total energies**: 92.8 kJ/mol of atoms
**Energy relative to the lowest polymorph listed for this composition**: 24.69 kJ/mol of atoms


Ho8Si3Te4As | PBE-GGA | relaxed

Lattice parameters (Å, degrees): 8.3965 8.5538 8.3966 119.39 120.00 90.00
With the nearest neighbours (Å) after each atom.
Atoms (fractional coordinates):
Si 0.5000 0.5000 0.0000  6 Ho 2.86-2.87
Si 0.5000 0.5000 0.5000  6 Ho 2.86-2.87
Si 0.0000 0.5000 0.5000  6 Ho 2.86-2.87
Ho 0.7351 0.7176 0.9764  2 Si 2.86, 1 As 2.89, 3 Te 3.11-3.15
Ho 0.2649 0.2824 0.0236  2 Si 2.86, 1 As 2.89, 3 Te 3.11-3.15
Ho 0.7396 0.7187 0.4792  3 Si 2.87, 3 Te 3.13
Ho 0.7588 0.2824 0.5175  2 Si 2.86, 1 As 2.89, 3 Te 3.11-3.15
Ho 0.2412 0.7176 0.4825  2 Si 2.86, 1 As 2.89, 3 Te 3.11-3.15
Ho 0.2413 0.7176 0.9764  2 Si 2.86, 1 As 2.89, 3 Te 3.11-3.15
Ho 0.7587 0.2824 0.0236  2 Si 2.86, 1 As 2.89, 3 Te 3.11-3.15
Ho 0.2604 0.2813 0.5208  3 Si 2.87, 3 Te 3.13
Te 0.0000 0.0000 0.0000  6 Ho 3.13-3.15
Te 0.0000 0.0000 0.5000  6 Ho 3.13-3.15
Te 0.5000 0.0000 0.0000  6 Ho 3.11
Te 0.5000 0.0000 0.5000  6 Ho 3.13-3.15
As 0.0000 0.5000 0.0000  6 Ho 2.89

**Crystal system**: trigonal
**Formation energy from raw total energies**: -115.8 kJ/mol of atoms


Mg2Si3 | PBE-GGA | relaxed

Lattice parameters (Å, degrees): 6.1989 6.1989 15.6726 82.05 82.05 38.42
With the nearest neighbours (Å) after each atom.
Atoms (fractional coordinates):
Si 0.5140 0.5140 0.4180  2 Si 2.45-2.54
Si 0.7817 0.7817 0.1543  4 Si 2.39-2.50
Si 0.8311 0.8311 0.8688  3 Si 2.44-2.48
Si 0.1452 0.1452 0.7114  3 Si 2.39-2.45
Si 0.1689 0.1689 0.1312  3 Si 2.44-2.48
Si 0.3215 0.3215 0.3749  3 Si 2.45
Si 0.9839 0.9839 0.0773  3 Si 2.40-2.50
Si 0.6785 0.6785 0.6251  3 Si 2.45
Si 0.8548 0.8548 0.2886  3 Si 2.39-2.45
Si 0.4860 0.4860 0.5820  2 Si 2.45-2.54
Si 0.0161 0.0161 0.9227  3 Si 2.40-2.50
Si 0.2183 0.2183 0.8457  4 Si 2.39-2.50
Mg 0.5116 0.5116 0.8017  6 Si 2.79-3.01
Mg 0.8668 0.8668 0.4972  7 Si 2.75-2.90
Mg 0.1085 0.1085 0.3095  5 Si 2.78-3.04, 1 Mg 3.09
Mg 0.3599 0.3599 0.0026  7 Si 2.78-2.98
Mg 0.8915 0.8915 0.6905  5 Si 2.78-3.04, 1 Mg 3.09
Mg 0.6401 0.6401 0.9974  7 Si 2.78-2.98
Mg 0.1332 0.1332 0.5028  7 Si 2.75-2.90
Mg 0.4884 0.4884 0.1983  6 Si 2.79-3.01

**Crystal system**: monoclinic
**Formation energy from raw total energies**: 8.7 kJ/mol of atoms
**Energy relative to the lowest polymorph listed for this composition**: 5.87 kJ/mol of atoms


Cu2TeSe | PBE-GGA | relaxed

Lattice parameters (Å, degrees): 4.7451 4.7451 4.7451 60.00 60.00 60.00
With the nearest neighbours (Å) after each atom.
Atoms (fractional coordinates):
Se 0.5000 0.5000 0.5000  4 Te 2.91, 4 Cu 2.91
Cu 0.2500 0.2500 0.2500  4 Se 2.91, 4 Cu 2.91
Cu 0.0000 0.0000 0.0000  4 Te 2.91, 4 Cu 2.91
Te 0.7500 0.7500 0.7500  4 Se 2.91, 4 Cu 2.91

**Crystal system**: cubic
**Formation energy from raw total energies**: 53.9 kJ/mol of atoms
**Energy relative to the lowest polymorph listed for this composition**: 61.90 kJ/mol of atoms


Th4HOs2S | PBE-GGA | relaxed

Lattice parameters (Å, degrees): 4.1175 7.1808 7.0758 110.15 90.00 90.00
With the nearest neighbours (Å) after each atom.
Atoms (fractional coordinates):
Th 0.5000 0.7427 0.7341  3 Os 2.83-2.88, 2 S 2.97, 1 H 2.97
Th 0.0000 0.2459 0.7343  3 Os 2.84-2.86, 2 H 2.96, 1 S 2.99
Th 0.0000 0.7541 0.2657  3 Os 2.84-2.86, 2 H 2.96, 1 S 2.99
Th 0.5000 0.2573 0.2659  3 Os 2.83-2.88, 2 S 2.97, 1 H 2.97
Os 0.5000 0.0000 0.5000  6 Th 2.84-2.88
Os 0.0000 0.5000 0.5000  6 Th 2.83-2.86
S 0.0000 0.0000 0.0000  6 Th 2.97-2.99
H 0.5000 0.5000 0.0000  6 Th 2.96-2.97

**Crystal system**: monoclinic
**Calculated total energy**: -8.08 eV/atom


> Number 11 is which compound?

Cu2TeSe